1.
Density functional theory data (GGA-PBE) for a geometry-optimized TbMg6Ni6 structure.

Properties
The calculation puts the uncorrected energy at -3.952 eV/atom. For the magnetization, the calculation gives 0.0 μB per formula unit. For the density of states at the Fermi level, the calculation gives 7.1 states/eV/f.u.

Cell: 5.1163 8.8024 9.0334 Å, 90.00 90.00 90.00°
Last column: nearest neighbours and their distance in Å.
Space group Immm (No. 71)
Inequivalent atoms, fractional coordinates:
Tb1 0.0000 0.0000 0.0000 (multiplicity 2)  8 Mg 2.95-3.14, 4 Ni 3.26
Mg1 0.0000 0.0000 0.3472 (multiplicity 4)  6 Ni 2.69-2.75, 3 Mg 2.76-2.93
Mg2 0.0000 0.3350 0.0000 (multiplicity 4)  6 Ni 2.70-2.72, 1 Mg 2.91, 1 Tb 2.95
Mg3 0.0000 0.5000 0.3098 (multiplicity 4)  6 Ni 2.60-2.66
Ni1 0.0000 0.2700 0.5000 (multiplicity 4)  4 Ni 2.60, 6 Mg 2.66-2.75
Ni2 0.2500 0.2500 0.2500 (multiplicity 8)  4 Ni 2.56-2.60, 6 Mg 2.60-2.70

2.
Density functional theory data (GGA-PBE) for a geometry-optimized TbMg2Ni2 structure.

Properties
The calculation puts the uncorrected energy at -4.056 eV/atom. For the magnetization, the calculation gives 0.0 μB per formula unit. For the density of states at the Fermi level, the calculation gives 2.7 states/eV/f.u.

Cell: 4.7896 3.9845 10.3711 Å, 90.00 102.46 90.00°
Last column: nearest neighbours and their distance in Å.
Space group P2_1/m (No. 11)
Inequivalent atoms, fractional coordinates:
Tb1 0.0077 0.2500 0.2661 (multiplicity 2)  5 Ni 2.85-2.91
Mg1 0.2537 0.2500 0.9873 (multiplicity 2)  4 Ni 2.60-2.80
Mg2 0.4295 0.2500 0.6044 (multiplicity 2)  5 Ni 2.53-2.69
Ni1 0.1081 0.7500 0.4753 (multiplicity 2)  2 Ni 2.35, 2 Mg 2.53
Ni2 0.3073 0.7500 0.1522 (multiplicity 2)  5 Mg 2.57-2.80, 2 Tb 2.86

3.
Density functional theory data (GGA-PBE) for a geometry-optimized TbMg3Ni8 structure.

Properties
The calculation puts the uncorrected energy at -4.933 eV/atom. For the magnetization, the calculation gives 0.0 μB per formula unit. For the density of states at the Fermi level, the calculation gives 16.0 states/eV/f.u.

Cell: 4.8925 4.8925 23.9715 Å, 90.00 90.00 120.00°
Last column: nearest neighbours and their distance in Å.
Space group R3m (No. 160, hexagonal axes)
Inequivalent atoms, fractional coordinates:
Tb1 0.0000 0.0000 0.0000 (multiplicity 3)  12 Ni 2.87-2.92, 4 Mg 3.06-3.07
Mg1 0.0000 0.0000 0.1281 (multiplicity 3)  12 Ni 2.75-2.90, 3 Mg 2.95, 1 Tb 3.07
Mg2 0.0000 0.0000 0.4974 (multiplicity 3)  12 Ni 2.80-2.87, 4 Mg 2.88-2.95
Mg3 0.0000 0.0000 0.6175 (multiplicity 3)  12 Ni 2.80-3.04, 1 Mg 2.88, 3 Tb 3.06
Ni1 0.0000 0.0000 0.3111 (multiplicity 3)  6 Ni 2.46-2.49
Ni2 0.0000 0.0000 0.8118 (multiplicity 3)  6 Ni 2.42
Ni3 0.0004 0.5002 0.0633 (multiplicity 9)  6 Ni 2.42-2.49
Ni4 0.1679 0.3358 0.8937 (multiplicity 9)  6 Ni 2.42-2.46

4.
Density functional theory data (GGA-PBE) for a geometry-optimized TbMg2Ni9 structure.

Properties
The calculation puts the uncorrected energy at -5.262 eV/atom. For the magnetization, the calculation gives 2.5 μB per formula unit. For the density of states at the Fermi level, the calculation gives 14.2 states/eV/f.u.

Cell: 4.8605 4.8605 23.6013 Å, 90.00 90.00 120.00°
Last column: nearest neighbours and their distance in Å.
Space group R-3m (No. 166, hexagonal axes)
Inequivalent atoms, fractional coordinates:
Tb1 0.0000 0.0000 0.0000 (multiplicity 3)  18 Ni 2.81-3.14
Mg1 0.0000 0.0000 0.1438 (multiplicity 6)  12 Ni 2.81-2.86, 3 Mg 3.01
Ni1 0.0000 0.0000 0.3336 (multiplicity 6)  6 Ni 2.44
Ni2 0.0000 0.0000 0.5000 (multiplicity 3)  6 Ni 2.40
Ni3 0.0026 0.5013 0.9156 (multiplicity 18)  7 Ni 2.40-2.45

5.
Density functional theory data (GGA-PBE) for a geometry-optimized Tb3Mg5Ni2 structure.

Properties
The calculation puts the uncorrected energy at -3.415 eV/atom. For the magnetization, the calculation gives 0.0 μB per formula unit. For the density of states at the Fermi level, the calculation gives 8.5 states/eV/f.u.

Cell: 11.5411 12.9119 6.2061 Å, 90.00 90.00 90.00°
Last column: nearest neighbours and their distance in Å.
Space group Ibam (No. 72)
Inequivalent atoms, fractional coordinates:
Tb1 0.0000 0.0000 0.2500 (multiplicity 4)  4 Ni 2.84, 2 Tb 3.10
Tb2 0.2383 0.1718 0.0000 (multiplicity 8)  1 Ni 2.83
Mg1 0.0000 0.2739 0.2500 (multiplicity 8)  2 Ni 2.55
Mg2 0.0000 0.5000 0.2500 (multiplicity 4)  8 Mg 2.90-3.10
Mg3 0.1958 0.4259 0.0000 (multiplicity 8)  1 Ni 2.43
Ni1 0.1134 0.1537 0.5000 (multiplicity 8)  3 Mg 2.43-2.55

6.
Density functional theory data (GGA-PBE) for a geometry-optimized TbMg11Ni structure.

Properties
The calculation puts the uncorrected energy at -2.189 eV/atom. For the magnetization, the calculation gives 0.0 μB per formula unit. For the density of states at the Fermi level, the calculation gives 6.5 states/eV/f.u.

Cell: 5.6012 14.3695 7.6020 Å, 90.00 110.34 90.00°
Last column: nearest neighbours and their distance in Å.
Space group C2/m (No. 12)
Inequivalent atoms, fractional coordinates:
Tb1 0.0000 0.0000 0.0000 (multiplicity 2)  18 Mg 3.48-3.86, 2 Ni 3.86
Mg1 0.0000 0.0000 0.5000 (multiplicity 2)  2 Ni 2.80, 8 Mg 2.91-2.97
Mg2 0.0935 0.3989 0.2197 (multiplicity 8)  1 Ni 2.77, 5 Mg 2.90-3.03
Mg3 0.1902 0.1676 0.3613 (multiplicity 8)  1 Ni 2.94, 7 Mg 2.97-3.28
Mg4 0.2500 0.2500 0.0000 (multiplicity 4)  8 Mg 2.80-3.11
Ni1 0.0000 0.5000 0.5000 (multiplicity 2)  10 Mg 2.77-2.94

7.
Density functional theory data (GGA-PBE) for a geometry-optimized Tb4MgNi structure.

Properties
The calculation puts the uncorrected energy at -4.296 eV/atom. The offset from the most stable computed form is 220 meV/atom. For the magnetization, the calculation gives 0.0 μB per formula unit. For the density of states at the Fermi level, the calculation gives 6.5 states/eV/f.u.

Cell: 8.7439 6.7161 6.0048 Å, 90.00 100.78 90.00°
Last column: nearest neighbours and their distance in Å.
Space group P2_1/c (No. 14)
Inequivalent atoms, fractional coordinates:
Tb1 0.1331 0.1272 0.3913 (multiplicity 4)  1 Ni 2.57
Tb2 0.2920 0.6001 0.4347 (multiplicity 4)  1 Ni 2.74
Mg1 0.5000 0.0000 0.5000 (multiplicity 2)  8 Tb 3.23-3.60
Ni1 0.0000 0.0000 0.0000 (multiplicity 2)  4 Tb 2.57-2.74

8.
Density functional theory data (GGA-PBE) for a geometry-optimized Tb2Mg3Ni2 structure.

Properties
The calculation puts the uncorrected energy at -3.925 eV/atom. The offset from the most stable computed form is 21 meV/atom. For the magnetization, the calculation gives 0.0 μB per formula unit. For the density of states at the Fermi level, the calculation gives 4.6 states/eV/f.u.

Cell: 10.2275 3.8896 7.4796 Å, 90.00 96.94 90.00°
Last column: nearest neighbours and their distance in Å.
Space group C2/m (No. 12)
Inequivalent atoms, fractional coordinates:
Tb1 0.1244 0.0000 0.3650 (multiplicity 4)  5 Ni 2.87-3.00
Mg1 0.0000 0.5000 0.0000 (multiplicity 2)  2 Ni 2.94, 6 Mg 3.01-3.28
Mg2 0.1847 0.0000 0.8543 (multiplicity 4)  2 Ni 2.67
Ni1 0.0822 0.5000 0.6369 (multiplicity 4)  1 Ni 2.49, 2 Mg 2.67

9.
Density functional theory data (GGA-PBE) for a geometry-optimized Tb3Mg3Ni2 structure.

Properties
The calculation puts the uncorrected energy at -3.994 eV/atom. For the magnetization, the calculation gives 0.0 μB per formula unit. For the density of states at the Fermi level, the calculation gives 6.6 states/eV/f.u.

Cell: 17.3272 4.2102 5.1222 Å, 90.00 100.49 90.00°
Last column: nearest neighbours and their distance in Å.
Space group C2/m (No. 12)
Inequivalent atoms, fractional coordinates:
Tb1 0.0000 0.0000 0.0000 (multiplicity 2)  8 Mg 3.19-3.32
Tb2 0.1693 0.0000 0.5959 (multiplicity 4)  4 Ni 2.74-2.92
Mg1 0.0000 0.5000 0.5000 (multiplicity 2)  8 Tb 3.32-3.57, 4 Mg 3.48-3.53
Mg2 0.1405 0.5000 0.0804 (multiplicity 4)  3 Ni 2.61-2.63
Ni1 0.2313 0.0000 0.1282 (multiplicity 4)  3 Mg 2.61-2.63, 2 Ni 2.62, 4 Tb 2.74-2.92

10.
Density functional theory data (GGA-PBE) for a geometry-optimized Tb12MgNi5 structure.

Properties
The calculation puts the uncorrected energy at -5.042 eV/atom. For the magnetization, the calculation gives 0.0 μB per formula unit. For the density of states at the Fermi level, the calculation gives 20.2 states/eV/f.u.

Cell: 9.4135 9.6293 9.9936 Å, 90.00 90.00 90.00°
Last column: nearest neighbours and their distance in Å.
Space group Immm (No. 71)
Inequivalent atoms, fractional coordinates:
Tb1 0.0000 0.1903 0.2096 (multiplicity 8)  2 Ni 2.70-2.78
Tb2 0.1931 0.5000 0.1786 (multiplicity 8)  3 Ni 2.69-2.85
Tb3 0.2044 0.3194 0.5000 (multiplicity 8)  2 Ni 2.87
Mg1 0.0000 0.0000 0.5000 (multiplicity 2)  12 Tb 3.40-3.63
Ni1 0.0000 0.0000 0.0000 (multiplicity 2)  4 Tb 2.78
Ni2 0.0000 0.3664 0.0000 (multiplicity 4)  1 Ni 2.57, 6 Tb 2.70-2.85
Ni3 0.0000 0.5000 0.3766 (multiplicity 4)  1 Ni 2.47, 2 Tb 2.69

11.
Density functional theory data (GGA-PBE) for a geometry-optimized TbMgNi17 structure.

Properties
The calculation puts the uncorrected energy at -5.591 eV/atom. For the magnetization, the calculation gives 8.1 μB per formula unit. For the density of states at the Fermi level, the calculation gives 27.5 states/eV/f.u.

Cell: 8.2321 8.2321 12.0250 Å, 90.00 90.00 120.00°
Last column: nearest neighbours and their distance in Å.
Space group R3m (No. 160, hexagonal axes)
Inequivalent atoms, fractional coordinates:
Tb1 0.0000 0.0000 0.0000 (multiplicity 3)  19 Ni 2.92-3.15
Mg1 0.0000 0.0000 0.6810 (multiplicity 3)  19 Ni 2.87-3.19
Ni1 0.0000 0.0000 0.2434 (multiplicity 3)  7 Ni 2.39-2.61
Ni2 0.0000 0.0000 0.4423 (multiplicity 3)  7 Ni 2.39-2.53
Ni3 0.0015 0.2962 0.3411 (multiplicity 18)  8 Ni 2.36-2.51
Ni4 0.0026 0.5013 0.8407 (multiplicity 9)  10 Ni 2.36-2.52
Ni5 0.0047 0.5023 0.1882 (multiplicity 9)  9 Ni 2.38-2.53
Ni6 0.0053 0.5027 0.4941 (multiplicity 9)  9 Ni 2.39-2.61

12.
Density functional theory data (GGA-PBE) for a geometry-optimized TbMgTlNi structure.

Properties
The calculation puts the uncorrected energy at -3.766 eV/atom. For the magnetization, the calculation gives 0.0 μB per formula unit. For the density of states at the Fermi level, the calculation gives 2.0 states/eV/f.u.

Cell: 6.9669 6.9669 6.9669 Å, 90.00 90.00 90.00°
Last column: nearest neighbours and their distance in Å.
Space group F-43m (No. 216)
Inequivalent atoms, fractional coordinates:
Tb1 0.0000 0.0000 0.0000 (multiplicity 4)  4 Tl 3.02, 4 Ni 3.02
Mg1 0.0000 0.0000 0.5000 (multiplicity 4)  4 Tl 3.02, 4 Ni 3.02
Tl1 0.2500 0.2500 0.7500 (multiplicity 4)  4 Tb 3.02, 4 Mg 3.02
Ni1 0.2500 0.2500 0.2500 (multiplicity 4)  4 Tb 3.02, 4 Mg 3.02

The highest density of states at the Fermi level belongs to which entry?
TbMgNi17